Here is a geometry-optimized Pr7Nd12Er structure from Alexandria via LeMat-Bulk. Energies are from GGA-PBE.

Computed properties:
- offset from the most stable computed form (meV per atom) = 0.0
- N(E_F) (states/eV per atom) = 2.0116
- uncorrected energy (eV per atom) = -4.5507
- crystal system = trigonal
- calculated formation energy (eV per atom) = 0.211

abc: 12.4179 12.4179 16.1554
angles: 90.00 90.00 120.00
Space group R-3 (No. 148, hexagonal axes)
Unique sites:
Pr  0.0000  0.0000  0.0000 (multiplicity 3)
Pr  0.0574  0.8704  0.2937 (multiplicity 18)
Nd  0.0251  0.5778  0.2216 (multiplicity 18)
Nd  0.0559  0.4669  0.5813 (multiplicity 18)
Er  0.0000  0.0000  0.5000 (multiplicity 3)